Computed, not measured: crystalline Sr4CdPd3 at its relaxed geometry at the PBE-GGA level of DFT.

a b c (Å): 4.3903 4.6462 11.6223
angles (deg): 90.00 90.00 90.00
Sites, in units of the cell vectors:
Sr1 0.0000 0.0000 0.1481
Sr2 0.5000 0.0000 0.6353
Sr3 0.5000 0.5000 0.3743
Sr4 0.0000 0.5000 0.8460
Pd1 0.0000 0.5000 0.5730
Pd2 0.5000 0.0000 0.9291
Pd3 0.0000 0.0000 0.4305
Cd1 0.5000 0.5000 0.0637

Values from the calculation:
DFT formation energy (meV/atom): -533

Computed, not measured: crystalline MoRuCl2 at its relaxed geometry at the PBE-GGA level of DFT.

a b c (Å): 7.3144 7.3144 7.3144
angles (deg): 157.22 148.29 39.40
Sites, in units of the cell vectors:
Cl1 0.0079 0.0079 0.0000
Cl2 0.7465 0.2465 0.5000
Ru1 0.2980 0.7980 0.5000
Mo1 0.4475 0.4475 0.0000

Values from the calculation:
Excess energy over the best structure of this formula in the dataset (eV/atom): 0.6931
Uncorrected formation energy (eV/atom): 0.448

Computed, not measured: crystalline Ti4Hg at its relaxed geometry at the PBE-GGA level of DFT.

a b c (Å): 4.9701 4.9701 4.9701
angles (deg): 90.00 90.00 90.00
Sites, in units of the cell vectors:
Hg1 0.5000 0.5000 0.5000
Ti1 0.5000 0.0000 0.5000
Ti2 0.0000 0.5000 0.5000
Ti3 0.0000 0.0000 0.0000
Ti4 0.5000 0.5000 0.0000

Values from the calculation:
DFT formation energy (meV/atom): 1236
Excess energy over the best structure of this formula in the dataset (eV/atom): 1.2235

Computed, not measured: crystalline KRb2Pa3S8 at its relaxed geometry at the PBE-GGA level of DFT.

a b c (Å): 8.2893 8.2893 9.2133
angles (deg): 63.27 63.27 60.00
Sites, in units of the cell vectors:
Pa1 0.4994 0.4994 0.0026
Pa2 0.9986 0.4994 0.0026
Pa3 0.4994 0.9986 0.0026
S1 0.2430 0.6894 0.8247
S2 0.6894 0.2430 0.8247
S3 0.2723 0.2723 0.1830
S4 0.3062 0.7557 0.1825
S5 0.7557 0.3062 0.1825
S6 0.7557 0.7557 0.1825
S7 0.7275 0.7275 0.8175
S8 0.2430 0.2430 0.8247
Rb1 0.1323 0.1323 0.6032
Rb2 0.4990 0.4990 0.5029
K1 0.8713 0.8713 0.3861

Values from the calculation:
Uncorrected formation energy (eV/atom): -1.532

Computed, not measured: crystalline NaIr6S8 at its relaxed geometry at the PBE-GGA level of DFT.

a b c (Å): 6.3822 6.3822 6.3822
angles (deg): 91.63 91.63 91.63
Sites, in units of the cell vectors:
Ir1 0.5809 0.1840 0.3985
Ir2 0.6015 0.4191 0.8160
Ir3 0.1840 0.3985 0.5809
Ir4 0.3985 0.5809 0.1840
Ir5 0.4191 0.8160 0.6015
Ir6 0.8160 0.6015 0.4191
S1 0.2308 0.6422 0.8643
S2 0.3578 0.1357 0.7692
S3 0.6422 0.8643 0.2308
S4 0.1357 0.7692 0.3578
S5 0.8643 0.2308 0.6422
S6 0.2504 0.2504 0.2504
S7 0.7692 0.3578 0.1357
S8 0.7496 0.7496 0.7496
Na1 0.0000 0.0000 0.0000

Values from the calculation:
Uncorrected formation energy (eV/atom): -0.190

Computed, not measured: crystalline Dy6Al2C at its relaxed geometry at the PBE-GGA level of DFT.

a b c (Å): 6.8486 6.8485 9.6759
angles (deg): 90.00 90.00 90.00
Sites, in units of the cell vectors:
Dy1 0.7463 0.7463 0.9998
Dy2 0.2463 0.7537 0.4998
Dy3 0.2537 0.7464 0.0001
Dy4 0.2463 0.2464 0.4999
Dy5 0.7463 0.2536 0.9999
Dy6 0.0003 0.9999 0.7465
Dy7 0.7537 0.2463 0.5002
Dy8 0.4997 0.4999 0.7535
Dy9 0.5003 0.5001 0.2465
Dy10 0.2537 0.2537 0.0002
Dy11 0.7537 0.7536 0.5001
Dy12 0.9997 0.0001 0.2535
Al1 0.0000 0.5002 0.2500
Al2 0.5000 0.0002 0.2500
Al3 0.0000 0.4998 0.7500
Al4 0.5000 0.9998 0.7500
C1 0.0000 0.0000 0.5000
C2 0.5000 0.5000 0.0000

Values from the calculation:
DFT formation energy (meV/atom): -299

Computed, not measured: crystalline Pr2Y3HoTe6 at its relaxed geometry at the PBE-GGA level of DFT.

a b c (Å): 4.3816 8.8963 9.8953
angles (deg): 103.03 102.79 90.00
Sites, in units of the cell vectors:
Te1 0.0040 0.7544 0.0080
Te2 0.6626 0.0729 0.3251
Te3 0.6613 0.5914 0.3227
Te4 0.3374 0.9271 0.6749
Te5 0.9960 0.2456 0.9920
Te6 0.3387 0.4086 0.6773
Pr1 0.8293 0.6618 0.6586
Pr2 0.1707 0.3382 0.3414
Ho1 0.5000 0.0000 0.0000
Y1 0.8265 0.1640 0.6529
Y2 0.1735 0.8360 0.3471
Y3 0.5000 0.5000 0.0000

Values from the calculation:
Uncorrected formation energy (eV/atom): -1.345

Computed, not measured: crystalline Sm2GeO5 at its relaxed geometry at the PBE-GGA level of DFT.

a b c (Å): 7.0699 8.3851 10.0447
angles (deg): 71.20 69.40 65.07
Sites, in units of the cell vectors:
O1 0.5916 0.4120 0.8226
O2 0.8724 0.4660 0.9401
O3 0.2785 0.0340 0.5599
O4 0.4084 0.5880 0.1774
O5 0.0803 0.9604 0.8663
O6 0.3918 0.1355 0.8953
O7 0.8502 0.2791 0.3254
O8 0.4226 0.3645 0.6047
O9 0.5774 0.6355 0.3953
O10 0.1737 0.9120 0.3226
O11 0.5454 0.7791 0.8254
O12 0.9197 0.0396 0.1337
O13 0.0930 0.4604 0.3663
O14 0.6082 0.8645 0.1047
O15 0.7215 0.9660 0.4401
O16 0.8263 0.0880 0.6774
O17 0.9070 0.5396 0.6337
O18 0.1498 0.7209 0.6746
O19 0.1276 0.5340 0.0599
O20 0.4546 0.2209 0.1746
Sm1 0.2911 0.8945 0.0348
Sm2 0.7797 0.3945 0.5348
Sm3 0.2373 0.4428 0.8382
Sm4 0.7627 0.5572 0.1618
Sm5 0.7089 0.1055 0.9652
Sm6 0.5183 0.0572 0.6619
Sm7 0.4817 0.9428 0.3382
Sm8 0.2203 0.6055 0.4652
Ge1 0.7245 0.5609 0.8068
Ge2 0.0921 0.9391 0.6932
Ge3 0.9079 0.0609 0.3068
Ge4 0.2755 0.4391 0.1932

Values from the calculation:
Excess energy over the best structure of this formula in the dataset (eV/atom): 0.0000
Uncorrected formation energy (eV/atom): -2.869

Computed, not measured: crystalline RbAlO3 at its relaxed geometry at the PBE-GGA level of DFT.

a b c (Å): 4.2704 4.2704 4.2704
angles (deg): 90.00 90.00 90.00
Sites, in units of the cell vectors:
O1 0.5000 0.0000 0.0000
O2 0.0000 0.5000 0.0000
O3 0.0000 0.0000 0.5000
Al1 0.5000 0.5000 0.5000
Rb1 0.0000 0.0000 0.0000

Values from the calculation:
Uncorrected formation energy (eV/atom): 0.981

Computed, not measured: crystalline CrTe2N at its relaxed geometry at the PBE-GGA level of DFT.

a b c (Å): 6.9983 6.9983 6.9983
angles (deg): 34.46 34.46 34.46
Sites, in units of the cell vectors:
Te1 0.9020 0.9020 0.9020
Te2 0.0980 0.0980 0.0980
Cr1 0.5000 0.5000 0.5000
N1 0.0000 0.0000 0.0000

Values from the calculation:
Uncorrected formation energy (eV/atom): 0.708

Computed, not measured: crystalline Li2BBrCl at its relaxed geometry at the PBE-GGA level of DFT.

a b c (Å): 4.9399 4.9399 4.1407
angles (deg): 90.00 90.00 90.00
Sites, in units of the cell vectors:
Li1 0.5000 0.0000 0.0000
Li2 0.0000 0.5000 0.0000
B1 0.0000 0.0000 0.0000
Cl1 0.5000 0.5000 0.5000
Br1 0.0000 0.0000 0.5000

Values from the calculation:
Uncorrected formation energy (eV/atom): -0.037

Computed, not measured: crystalline CePm2IrN4 at its relaxed geometry at the PBE-GGA level of DFT.

a b c (Å): 3.4264 6.1926 11.9859
angles (deg): 90.00 90.00 106.06
Sites, in units of the cell vectors:
N1 0.0000 0.0000 0.5000
N2 0.7181 0.4362 0.8626
N3 0.2819 0.5638 0.3626
N4 0.4538 0.9076 0.7500
N5 0.0000 0.0000 0.0000
N6 0.5462 0.0924 0.2500
N7 0.7181 0.4362 0.6374
N8 0.2819 0.5638 0.1374
Ce1 0.8880 0.7759 0.2500
Ce2 0.1120 0.2241 0.7500
Pm1 0.3699 0.7399 0.5480
Pm2 0.6301 0.2601 0.4520
Pm3 0.6301 0.2601 0.0480
Pm4 0.3699 0.7399 0.9520
Ir1 0.1499 0.2999 0.2500
Ir2 0.8501 0.7001 0.7500

Values from the calculation:
Uncorrected formation energy (eV/atom): -0.886

Computed, not measured: crystalline YErTl4 at its relaxed geometry at the PBE-GGA level of DFT.

a b c (Å): 4.9260 4.9291 8.3178
angles (deg): 75.51 75.45 107.26
Sites, in units of the cell vectors:
Tl1 0.3865 0.0187 0.7932
Tl2 0.5279 0.8887 0.2953
Tl3 0.1112 0.4716 0.6999
Tl4 0.9791 0.6106 0.2041
Er1 0.9780 0.0198 0.4984
Y1 0.5250 0.4744 0.9979

Values from the calculation:
DFT formation energy (meV/atom): -75

Computed, not measured: crystalline Cd2HgPb at its relaxed geometry at the PBE-GGA level of DFT.

a b c (Å): 5.7229 5.7229 5.7229
angles (deg): 131.49 131.49 71.04
Sites, in units of the cell vectors:
Pb1 0.7500 0.2500 0.5000
Cd1 0.2500 0.7500 0.5000
Cd2 0.0000 0.0000 0.0000
Hg1 0.5000 0.5000 0.0000

Values from the calculation:
DFT formation energy (meV/atom): 54
Excess energy over the best structure of this formula in the dataset (eV/atom): 0.0142

Computed, not measured: crystalline Sm5Er5Tm at its relaxed geometry at the PBE-GGA level of DFT.

a b c (Å): 6.0528 6.0528 11.6725
angles (deg): 90.00 90.00 120.00
Sites, in units of the cell vectors:
Sm1 0.6667 0.3333 0.1530
Sm2 0.3333 0.6667 0.3145
Sm3 0.6667 0.3333 0.8470
Sm4 0.0000 0.0000 0.0000
Sm5 0.3333 0.6667 0.6855
Er1 0.3339 0.1669 0.5000
Er2 0.8331 0.6661 0.5000
Er3 0.0000 0.0000 0.7344
Er4 0.8331 0.1669 0.5000
Er5 0.0000 0.0000 0.2656
Tm1 0.3333 0.6667 0.0000

Values from the calculation:
DFT formation energy (meV/atom): 308

Computed, not measured: crystalline Sm2DyTm8 at its relaxed geometry at the PBE-GGA level of DFT.

a b c (Å): 6.5456 6.5859 8.8146
angles (deg): 99.47 111.80 90.00
Sites, in units of the cell vectors:
Tm1 0.8255 0.4019 0.1736
Tm2 0.5884 0.9039 0.1769
Tm3 0.4116 0.0961 0.8231
Tm4 0.7993 0.1989 0.5986
Tm5 0.2007 0.8011 0.4014
Tm6 0.6519 0.5981 0.8264
Tm7 0.1745 0.5981 0.8264
Tm8 0.3481 0.4019 0.1736
Dy1 0.0000 0.0000 0.0000
Sm1 0.2444 0.3109 0.4889
Sm2 0.7556 0.6891 0.5111

Values from the calculation:
DFT formation energy (meV/atom): 178
Excess energy over the best structure of this formula in the dataset (eV/atom): 0.0142

Computed, not measured: crystalline DyLuCuAg at its relaxed geometry at the PBE-GGA level of DFT.

a b c (Å): 4.9857 4.9857 4.9857
angles (deg): 60.00 60.00 60.00
Sites, in units of the cell vectors:
Lu1 0.5000 0.5000 0.5000
Ag1 0.7500 0.7500 0.7500
Cu1 0.2500 0.2500 0.2500
Dy1 0.0000 0.0000 0.0000

Values from the calculation:
DFT formation energy (meV/atom): -281

Computed, not measured: crystalline FeH at its relaxed geometry at the PBE-GGA level of DFT.

a b c (Å): 2.7132 2.7132 4.5726
angles (deg): 90.00 90.00 120.00
Sites, in units of the cell vectors:
H1 0.3333 0.6667 0.3582
H2 0.6667 0.3333 0.8582
Fe1 0.6667 0.3333 0.2238
Fe2 0.3333 0.6667 0.7238

Values from the calculation:
E_tot (eV per cell): -23.27

Computed, not measured: crystalline Ac3Cu2Pd4Pb2 at its relaxed geometry at the PBE-GGA level of DFT.

a b c (Å): 4.5852 4.5852 15.3583
angles (deg): 90.00 90.00 120.00
Sites, in units of the cell vectors:
Pb1 0.6667 0.3333 0.4346
Pb2 0.3333 0.6667 0.5654
Cu1 0.3333 0.6667 0.1339
Cu2 0.6667 0.3333 0.8661
Ac1 0.0000 0.0000 0.2594
Ac2 0.0000 0.0000 0.0000
Ac3 0.0000 0.0000 0.7406
Pd1 0.3333 0.6667 0.3725
Pd2 0.6667 0.3333 0.1289
Pd3 0.3333 0.6667 0.8711
Pd4 0.6667 0.3333 0.6275

Values from the calculation:
DFT formation energy (meV/atom): -509

Computed, not measured: crystalline SrZn6Cd12 at its relaxed geometry at the PBE-GGA level of DFT.

a b c (Å): 7.8915 7.8915 7.8915
angles (deg): 104.79 104.79 104.79
Sites, in units of the cell vectors:
Cd1 0.5951 0.5951 0.8430
Cd2 0.4049 0.4049 0.1570
Cd3 0.4049 0.1570 0.4049
Cd4 0.8849 0.5000 0.1151
Cd5 0.1151 0.5000 0.8849
Cd6 0.5951 0.8430 0.5951
Cd7 0.1570 0.4049 0.4049
Cd8 0.1151 0.8849 0.5000
Cd9 0.5000 0.8849 0.1151
Cd10 0.8849 0.1151 0.5000
Cd11 0.5000 0.1151 0.8849
Cd12 0.8430 0.5951 0.5951
Zn1 0.2726 0.7126 0.2726
Zn2 0.7274 0.2874 0.7274
Zn3 0.7274 0.7274 0.2874
Zn4 0.7126 0.2726 0.2726
Zn5 0.2726 0.2726 0.7126
Zn6 0.2874 0.7274 0.7274
Sr1 0.0000 0.0000 0.0000

Values from the calculation:
DFT formation energy (meV/atom): 21

Computed, not measured: crystalline Pr6Si3Ge at its relaxed geometry at the PBE-GGA level of DFT.

a b c (Å): 6.2202 8.3461 11.4364
angles (deg): 90.00 89.84 90.00
Sites, in units of the cell vectors:
Si1 0.9061 0.3802 0.7494
Si2 0.4061 0.1198 0.2494
Si3 0.5000 0.5000 0.0000
Si4 0.0000 0.0000 0.5000
Si5 0.0939 0.6198 0.2506
Si6 0.5939 0.8802 0.7506
Pr1 0.6239 0.1746 0.9194
Pr2 0.3710 0.5392 0.7514
Pr3 0.3742 0.8286 0.4189
Pr4 0.1258 0.3286 0.0811
Pr5 0.1290 0.0392 0.7486
Pr6 0.6258 0.1714 0.5811
Pr7 0.3761 0.8254 0.0806
Pr8 0.8742 0.6714 0.9189
Pr9 0.8761 0.6746 0.5806
Pr10 0.1239 0.3254 0.4194
Pr11 0.6290 0.4608 0.2486
Pr12 0.8710 0.9608 0.2514
Ge1 0.0000 0.0000 0.0000
Ge2 0.5000 0.5000 0.5000

Values from the calculation:
Uncorrected formation energy (eV/atom): -0.496